Material: LaReTe
Method: DFT, PBE
State: relaxed

a b c (Å): 17.432 4.155 4.929
angles (deg): 90.00 100.56 90.00
Space group Cm (No. 8)
Asymmetric unit:
La 0.000 0.000 0.000 (multiplicity 2)
La 0.229 0.000 0.289 (multiplicity 2)
Re 0.076 0.500 0.500 (multiplicity 2)
Re 0.133 0.000 0.699 (multiplicity 2)
Te 0.251 0.500 0.805 (multiplicity 2)
Te 0.423 0.000 0.458 (multiplicity 2)

raw total energy = -86.843 eV per cell
formation energy (no corrections) = -0.40 eV per atom

Material: LaReTe2
Method: DFT, PBE
State: relaxed

a b c (Å): 3.418 3.418 9.288
angles (deg): 90.00 90.00 90.00
Space group P4mm (No. 99)
Asymmetric unit:
La 0.000 0.000 0.000 (multiplicity 1)
Re 0.500 0.500 0.233 (multiplicity 1)
Te 0.000 0.000 0.374 (multiplicity 1)
Te 0.500 0.500 0.744 (multiplicity 1)

raw total energy = -24.298 eV per cell
formation energy (no corrections) = -0.16 eV per atom

Material: LaReTe2
Method: DFT, PBE
State: relaxed

a b c (Å): 3.972 4.775 6.279
angles (deg): 90.00 108.29 90.00
Space group Pm (No. 6)
Asymmetric unit:
La 0.000 0.000 0.000 (multiplicity 1)
Re 0.636 0.500 0.276 (multiplicity 1)
Te 0.415 0.500 0.829 (multiplicity 1)
Te 0.718 0.000 0.439 (multiplicity 1)

raw total energy = -24.184 eV per cell
formation energy (no corrections) = -0.13 eV per atom

Material: LaReTe2
Method: DFT, PBE
State: relaxed

a b c (Å): 5.075 5.075 3.715
angles (deg): 90.00 90.00 90.00
Space group P4/mmm (No. 123)
Asymmetric unit:
La 0.000 0.000 0.000 (multiplicity 1)
Re 0.500 0.500 0.000 (multiplicity 1)
Te 0.000 0.500 0.500 (multiplicity 2)

raw total energy = -23.852 eV per cell
formation energy (no corrections) = -0.05 eV per atom